# 1
This record from OQMD describes a relaxed Li5Ta3N3 crystal. The functional is GGA-PBE.

VASP energy   -6.83 eV per atom

Cell: 6.0433 6.0433 4.0723 Å, 90.00 90.00 120.00°
Closest atoms and distances in Å follow each position.
Atoms (fractional coordinates):
N 0.0000 0.6327 0.0000  4 Li 1.92-1.98, 2 Ta 2.04
N 0.3673 0.3673 0.0000  4 Li 1.92-1.98, 2 Ta 2.04
N 0.6327 0.0000 0.0000  4 Li 1.92-1.98, 2 Ta 2.04
Ta 0.6090 0.0000 0.5000  2 N 2.04
Ta 0.0000 0.6090 0.5000  2 N 2.04
Ta 0.3910 0.3910 0.5000  2 N 2.04
Li 0.2608 0.0000 0.0000  2 N 1.98
Li 0.7392 0.7392 0.0000  2 N 1.98
Li 0.0000 0.2608 0.0000  2 N 1.98
Li 0.6667 0.3333 0.0000  3 N 1.92
Li 0.3333 0.6667 0.0000  3 N 1.92

---

# 2
This record from OQMD describes a relaxed LiTa3N5 crystal. The functional is GGA-PBE.

VASP energy   -8.60 eV per atom

Cell: 5.4594 5.4594 4.9108 Å, 90.00 90.00 120.00°
Closest atoms and distances in Å follow each position.
Atoms (fractional coordinates):
N 0.0000 0.0000 0.5000  2 Li 2.46, 6 Ta 2.73
N 0.6667 0.3333 0.7741  3 Ta 2.07, 1 N 2.22
N 0.3333 0.6667 0.7741  3 Ta 2.07, 1 N 2.22
N 0.6667 0.3333 0.2259  3 Ta 2.07, 1 N 2.22
N 0.3333 0.6667 0.2259  3 Ta 2.07, 1 N 2.22
Ta 0.5000 0.5000 0.5000  4 N 2.07
Ta 0.0000 0.5000 0.5000  4 N 2.07
Ta 0.5000 0.0000 0.5000  4 N 2.07
Li 0.0000 0.0000 0.0000  2 N 2.46

---

# 3
This record from OQMD describes a relaxed Li5Tb3N3 crystal. The functional is GGA-PBE.

VASP energy   -4.96 eV per atom

Cell: 6.5409 6.5409 4.5688 Å, 90.00 90.00 120.00°
Closest atoms and distances in Å follow each position.
Atoms (fractional coordinates):
Li 0.6667 0.3333 0.0000  3 N 2.04
Li 0.0000 0.2887 0.0000  3 N 2.16-2.25, 2 Li 2.34
Li 0.3333 0.6667 0.0000  3 N 2.04
Li 0.2887 0.0000 0.0000  3 N 2.16-2.25, 2 Li 2.34
Li 0.7113 0.7113 0.0000  3 N 2.16-2.25, 2 Li 2.34
N 0.0000 0.6189 0.0000  5 Li 2.04-2.25
N 0.6189 0.0000 0.0000  5 Li 2.04-2.25
N 0.3811 0.3811 0.0000  5 Li 2.04-2.25
Tb 0.3378 0.3378 0.5000  2 N 2.30
Tb 0.0000 0.6622 0.5000  2 N 2.30
Tb 0.6622 0.0000 0.5000  2 N 2.30

---

# 4
This record from OQMD describes a relaxed LiTcN2 crystal. The functional is GGA-PBE.

VASP energy   -7.45 eV per atom

Cell: 5.5944 5.5944 5.5944 Å, 131.35 131.35 71.26°
Closest atoms and distances in Å follow each position.
Atoms (fractional coordinates):
N 0.5854 0.6250 0.4604  2 Tc 1.89, 2 Li 2.10
N 0.3750 0.8354 0.9604  2 Tc 1.89, 2 Li 2.10
N 0.8750 0.4146 0.0396  2 Tc 1.89, 2 Li 2.10
N 0.1646 0.1250 0.5396  2 Tc 1.89, 2 Li 2.10
Tc 0.2500 0.7500 0.5000  4 N 1.89
Tc 0.5000 0.5000 0.0000  4 N 1.89
Li 0.0000 0.0000 0.0000  4 N 2.10
Li 0.7500 0.2500 0.5000  4 N 2.10

---

# 5
This record from OQMD describes a relaxed Li3Tc2N6 crystal. The functional is GGA-PBE.

VASP energy   -6.71 eV per atom

Cell: 5.4032 5.4032 4.9051 Å, 97.34 97.34 124.71°
Closest atoms and distances in Å follow each position.
Atoms (fractional coordinates):
Li 0.3409 0.6591 0.5000  6 N 2.15-2.20
Li 0.5000 0.5000 0.0000  6 N 2.09-2.29
Li 0.6591 0.3409 0.5000  6 N 2.15-2.20
N 0.2212 0.2212 0.2488  2 Tc 1.95, 1 Li 2.09
N 0.5575 0.9388 0.2106  2 Tc 1.90-2.12
N 0.4425 0.0612 0.7894  2 Tc 1.90-2.12
N 0.9388 0.5575 0.2106  2 Tc 1.90-2.12
N 0.0612 0.4425 0.7894  2 Tc 1.90-2.12
N 0.7788 0.7788 0.7512  2 Tc 1.95, 1 Li 2.09
Tc 0.8593 0.1407 0.0000  6 N 1.90-2.12
Tc 0.1407 0.8593 0.0000  6 N 1.90-2.12

---

# 6
This record from OQMD describes a relaxed LiWN2 crystal. The functional is GGA-PBE.

VASP energy   -8.43 eV per atom

Cell: 5.5554 5.5554 5.5554 Å, 30.31 30.31 30.31°
Closest atoms and distances in Å follow each position.
Atoms (fractional coordinates):
W 0.0000 0.0000 0.0000  6 N 2.09
Li 0.8283 0.8283 0.8283  6 N 2.14-2.24
N 0.4115 0.4115 0.4115  3 W 2.09, 3 Li 2.14
N 0.2553 0.2553 0.2553  3 W 2.09, 3 Li 2.24

---

# 7
This record from OQMD describes a relaxed LiW3N5 crystal. The functional is GGA-PBE.

VASP energy   -8.50 eV per atom

Cell: 5.2707 5.2707 5.3236 Å, 90.00 90.00 120.00°
Closest atoms and distances in Å follow each position.
Atoms (fractional coordinates):
Li 0.0000 0.0000 0.0000  2 N 2.66
W 0.5000 0.5000 0.5000  4 N 2.04
W 0.5000 0.0000 0.5000  4 N 2.04
W 0.0000 0.5000 0.5000  4 N 2.04
N 0.0000 0.0000 0.5000  6 W 2.64, 2 Li 2.66
N 0.3333 0.6667 0.7553  3 W 2.04
N 0.3333 0.6667 0.2447  3 W 2.04
N 0.6667 0.3333 0.2447  3 W 2.04
N 0.6667 0.3333 0.7553  3 W 2.04

---

# 8
This record from OQMD describes a relaxed LiZnN crystal. The functional is GGA-PBE.

VASP energy   -4.01 eV per atom

Cell: 3.3955 3.3955 5.9353 Å, 90.00 90.00 120.00°
Closest atoms and distances in Å follow each position.
Atoms (fractional coordinates):
Zn 0.6667 0.3333 0.5424  4 N 2.13-2.14
Zn 0.3333 0.6667 0.0424  4 N 2.13-2.14
Li 0.0000 0.0000 0.8049  3 N 2.04
Li 0.0000 0.0000 0.3049  3 N 2.04
N 0.3333 0.6667 0.4027  3 Li 2.04, 4 Zn 2.13-2.14
N 0.6667 0.3333 0.9027  3 Li 2.04, 4 Zn 2.13-2.14

---

# 9
This record from OQMD describes a relaxed LiZnN crystal. The functional is GGA-PBE.

VASP energy   -4.04 eV per atom

Cell: 4.7667 5.1468 7.1108 Å, 90.00 130.11 90.00°
Closest atoms and distances in Å follow each position.
Atoms (fractional coordinates):
Zn 0.8776 0.5845 0.1133  3 N 1.93-2.04
Zn 0.8776 0.9155 0.6133  3 N 1.93-2.04
Zn 0.1224 0.0845 0.3867  3 N 1.93-2.04
Zn 0.1224 0.4155 0.8867  3 N 1.93-2.04
Li 0.3233 0.9317 0.1026  3 N 2.01-2.14
Li 0.6767 0.4317 0.3974  3 N 2.01-2.14
Li 0.6767 0.0683 0.8974  3 N 2.01-2.14
Li 0.3233 0.5683 0.6026  3 N 2.01-2.14
N 0.8260 0.7295 0.8255  3 Zn 1.93-2.04, 3 Li 2.01-2.14
N 0.8260 0.7705 0.3255  3 Zn 1.93-2.04, 3 Li 2.01-2.14
N 0.1740 0.2295 0.6745  3 Zn 1.93-2.04, 3 Li 2.01-2.14
N 0.1740 0.2705 0.1745  3 Zn 1.93-2.04, 3 Li 2.01-2.14

---

# 10
This record from OQMD describes a relaxed Li4ZnN2 crystal. The functional is GGA-PBE.

VASP energy   -4.04 eV per atom

Cell: 6.7152 6.7152 6.7152 Å, 31.19 31.19 31.19°
Closest atoms and distances in Å follow each position.
Atoms (fractional coordinates):
Zn 0.0000 0.0000 0.0000  2 N 1.85
N 0.9036 0.9036 0.9036  1 Zn 1.85, 1 Li 2.02
N 0.0964 0.0964 0.0964  1 Zn 1.85, 1 Li 2.02
Li 0.7982 0.7982 0.7982  4 N 2.02-2.19
Li 0.2018 0.2018 0.2018  4 N 2.02-2.19
Li 0.4182 0.4182 0.4182  3 N 2.10, 3 Li 2.27
Li 0.5818 0.5818 0.5818  3 N 2.10, 3 Li 2.27

---

# 11
This record from OQMD describes a relaxed LiZnN crystal. The functional is GGA-PBE.

VASP energy   -3.59 eV per atom

Cell: 5.7705 5.7705 3.2276 Å, 90.00 90.00 120.00°
Closest atoms and distances in Å follow each position.
Atoms (fractional coordinates):
Li 0.0000 0.5808 0.5000  2 N 2.24, 5 Zn 2.37-2.42
Li 0.4192 0.4192 0.5000  2 N 2.24, 5 Zn 2.37-2.42
Li 0.5808 0.0000 0.5000  2 N 2.24, 5 Zn 2.37-2.42
N 0.3113 0.0000 0.0000  2 Zn 1.99
N 0.6887 0.6887 0.0000  2 Zn 1.99
N 0.0000 0.3113 0.0000  2 Zn 1.99
Zn 0.3333 0.6667 0.0000  3 N 1.99
Zn 0.6667 0.3333 0.0000  3 N 1.99
Zn 0.0000 0.0000 0.5000  6 N 2.41, 3 Li 2.42

---

# 12
This record from OQMD describes a relaxed LiZnN crystal. The functional is GGA-PBE.

VASP energy   -3.94 eV per atom

Cell: 3.3943 3.3943 6.6016 Å, 90.00 90.00 120.00°
Closest atoms and distances in Å follow each position.
Atoms (fractional coordinates):
Zn 0.6667 0.3333 0.7500  3 N 1.96
Zn 0.3333 0.6667 0.2500  3 N 1.96
Li 0.0000 0.0000 0.5000  6 Zn 2.56, 6 N 2.56
Li 0.0000 0.0000 0.0000  6 N 2.56, 6 Zn 2.56
N 0.3333 0.6667 0.7500  3 Zn 1.96
N 0.6667 0.3333 0.2500  3 Zn 1.96